# Al2SiNi | Alexandria | GGA-PBE | relaxed
data_Al2SiNi
_chemical_formula_sum 'Al8 Si4 Ni4'
_symmetry_space_group_name_H-M 'P n m a'
_symmetry_Int_Tables_number 62
_symmetry_space_group_name_Hall '-P 2ac 2n'
_cell_length_a 6.2359
_cell_length_b 7.4592
_cell_length_c 4.8906
_cell_angle_alpha 90.00
_cell_angle_beta 90.00
_cell_angle_gamma 90.00
loop_
_atom_site_label
_atom_site_type_symbol
_atom_site_fract_x
_atom_site_fract_y
_atom_site_fract_z
Al1 Al 0.1614 0.0512 0.1663
Si1 Si 0.0267 0.7500 0.4310
Ni1 Ni 0.1483 0.7500 0.9684
# Energy above the lowest structure with this stoichiometry, eV per atom: 0.0000
# Formation energy without anion corrections, eV/atom: -0.3135